No. 1
## ScBe2H6 (PBE)

Data for crystalline ScBe2H6 at its relaxed geometry.

Properties
* energy: -27.6 eV per cell
* total magnetization: 0.00 μB per formula unit

The structure in CIF format:
```
data_ScBe2H6
_cell_length_a 4.6162
_cell_length_b 4.6162
_cell_length_c 4.6162
_cell_angle_alpha 60.00
_cell_angle_beta 60.00
_cell_angle_gamma 60.00
_space_group_name_H-M_alt 'P 1'
_space_group_IT_number 1
_space_group_name_Hall 'P 1'
loop_
_atom_site_label
_atom_site_fract_x
_atom_site_fract_y
_atom_site_fract_z
Be1 0.2500 0.2500 0.2500
Be2 0.7500 0.7500 0.7500
H1 0.7164 0.2836 0.7164
Sc1 0.0000 0.0000 0.0000
H2 0.2836 0.7164 0.2836
H3 0.7164 0.7164 0.2836
H4 0.2836 0.7164 0.7164
H5 0.2836 0.2836 0.7164
H6 0.7164 0.2836 0.2836
```

---

No. 2
## Cs2S2F (PBE)

Data for crystalline Cs2S2F at its relaxed geometry.

Properties
* uncorrected formation energy: -1.205 eV/atom
* distance to the lowest polymorph of the same formula: 0.64 eV/f.u.
* total magnetization: 0.00 μB per formula unit

The structure in CIF format:
```
data_Cs2S2F
_cell_length_a 3.7496
_cell_length_b 3.7496
_cell_length_c 9.8470
_cell_angle_alpha 79.02
_cell_angle_beta 79.02
_cell_angle_gamma 90.00
_space_group_name_H-M_alt 'P 1'
_space_group_IT_number 1
_space_group_name_Hall 'P 1'
loop_
_atom_site_label
_atom_site_fract_x
_atom_site_fract_y
_atom_site_fract_z
F1 0.0000 0.0000 0.0000
S1 0.7500 0.2500 0.5000
S2 0.2500 0.7500 0.5000
Cs1 0.4043 0.4043 0.1914
Cs2 0.5957 0.5957 0.8086
```

---

No. 3
## TaCoSe2 (PBE)

Data for crystalline TaCoSe2 at its relaxed geometry.

Properties
* uncorrected formation energy: -0.323 eV/atom
* total magnetization: 0.00 μB per formula unit

The structure in CIF format:
```
data_TaCoSe2
_cell_length_a 3.4092
_cell_length_b 3.4092
_cell_length_c 7.0392
_cell_angle_alpha 90.00
_cell_angle_beta 90.00
_cell_angle_gamma 90.00
_space_group_name_H-M_alt 'P 1'
_space_group_IT_number 1
_space_group_name_Hall 'P 1'
loop_
_atom_site_label
_atom_site_fract_x
_atom_site_fract_y
_atom_site_fract_z
Co1 0.5000 0.5000 0.7075
Se1 0.5000 0.5000 0.3678
Se2 0.0000 0.0000 0.8833
Ta1 0.0000 0.0000 0.5414
```

---

No. 4
## Sr6Sn3Hg (PBE)

Data for crystalline Sr6Sn3Hg at its relaxed geometry.

Properties
* energy: -53.5 eV per cell
* total magnetization: 0.00 μB per formula unit

The structure in CIF format:
```
data_Sr6Sn3Hg
_cell_length_a 8.7518
_cell_length_b 8.5370
_cell_length_c 10.8191
_cell_angle_alpha 90.00
_cell_angle_beta 92.45
_cell_angle_gamma 90.00
_space_group_name_H-M_alt 'P 1'
_space_group_IT_number 1
_space_group_name_Hall 'P 1'
loop_
_atom_site_label
_atom_site_fract_x
_atom_site_fract_y
_atom_site_fract_z
Sr1 0.1641 0.3452 0.0697
Hg1 0.0000 0.0000 0.0000
Sn1 0.0460 0.6513 0.2638
Sr2 0.3283 0.8272 0.0710
Sn2 0.5000 0.5000 0.0000
Sr3 0.1717 0.3272 0.4290
Sn3 0.9540 0.3487 0.7362
Sr4 0.2191 0.0651 0.7544
Sr5 0.8359 0.6548 0.9303
Sr6 0.6641 0.1548 0.5697
Sr7 0.3359 0.8452 0.4303
Sr8 0.7191 0.4349 0.2544
Hg2 0.5000 0.5000 0.5000
Sn4 0.4540 0.1513 0.2362
Sr9 0.8283 0.6728 0.5710
Sr10 0.6717 0.1728 0.9290
Sr11 0.2809 0.5651 0.7456
Sr12 0.7809 0.9349 0.2456
Sn5 0.0000 0.0000 0.5000
Sn6 0.5460 0.8487 0.7638
```

---

No. 5
## La2BeGa4 (PBE)

Data for crystalline La2BeGa4 at its relaxed geometry.

Properties
* energy: -27.8 eV per cell
* total magnetization: 0.00 μB per formula unit

The structure in CIF format:
```
data_La2BeGa4
_cell_length_a 4.5401
_cell_length_b 4.5401
_cell_length_c 8.3774
_cell_angle_alpha 74.28
_cell_angle_beta 74.28
_cell_angle_gamma 90.00
_space_group_name_H-M_alt 'P 1'
_space_group_IT_number 1
_space_group_name_Hall 'P 1'
loop_
_atom_site_label
_atom_site_fract_x
_atom_site_fract_y
_atom_site_fract_z
Ga1 0.0000 0.5000 0.0000
La1 0.3525 0.3525 0.2950
Ga2 0.1522 0.1522 0.6956
Ga3 0.8478 0.8478 0.3044
Be1 0.0000 0.0000 0.0000
Ga4 0.5000 0.0000 0.0000
La2 0.6475 0.6475 0.7050
```

---

No. 6
## SrZrIn2F8 (PBE)

Data for crystalline SrZrIn2F8 at its relaxed geometry.

Properties
* uncorrected formation energy: -3.032 eV/atom
* total magnetization: 0.00 μB per formula unit

The structure in CIF format:
```
data_SrZrIn2F8
_cell_length_a 3.8678
_cell_length_b 6.7012
_cell_length_c 7.9891
_cell_angle_alpha 90.00
_cell_angle_beta 90.00
_cell_angle_gamma 90.13
_space_group_name_H-M_alt 'P 1'
_space_group_IT_number 1
_space_group_name_Hall 'P 1'
loop_
_atom_site_label
_atom_site_fract_x
_atom_site_fract_y
_atom_site_fract_z
F1 0.5002 0.1725 0.0000
In1 0.5000 0.5000 0.2561
In2 0.5000 0.5000 0.7439
F2 0.9999 0.8115 0.7898
F3 0.9999 0.8115 0.2102
F4 0.0001 0.1885 0.2102
F5 0.0001 0.1885 0.7898
F6 0.5010 0.2324 0.5000
F7 0.4990 0.7676 0.5000
Sr1 0.0000 0.0000 0.5000
Zr1 0.0000 0.0000 0.0000
F8 0.4998 0.8275 0.0000
```

---

No. 7
## AcAgSbO (PBE)

Data for crystalline AcAgSbO at its relaxed geometry.

Properties
* uncorrected formation energy: -1.266 eV/atom
* total magnetization: 0.00 μB per formula unit

The structure in CIF format:
```
data_AcAgSbO
_cell_length_a 3.6602
_cell_length_b 3.6602
_cell_length_c 7.3370
_cell_angle_alpha 104.44
_cell_angle_beta 104.44
_cell_angle_gamma 90.00
_space_group_name_H-M_alt 'P 1'
_space_group_IT_number 1
_space_group_name_Hall 'P 1'
loop_
_atom_site_label
_atom_site_fract_x
_atom_site_fract_y
_atom_site_fract_z
Sb1 0.9135 0.9135 0.8269
O1 0.1515 0.1515 0.3030
Ac1 0.6242 0.6242 0.2485
Ag1 0.3229 0.3229 0.6458
```

---

No. 8
## Tb6GaAg2 (PBE)

Data for crystalline Tb6GaAg2 at its relaxed geometry.

Properties
* energy: -77.1 eV per cell
* total magnetization: 0.00 μB per formula unit

The structure in CIF format:
```
data_Tb6GaAg2
_cell_length_a 8.6116
_cell_length_b 8.6116
_cell_length_c 8.6116
_cell_angle_alpha 109.64
_cell_angle_beta 110.23
_cell_angle_gamma 108.54
_space_group_name_H-M_alt 'P 1'
_space_group_IT_number 1
_space_group_name_Hall 'P 1'
loop_
_atom_site_label
_atom_site_fract_x
_atom_site_fract_y
_atom_site_fract_z
Ga1 0.0000 0.0000 0.0000
Tb1 0.7267 0.0547 0.3280
Ag1 0.6441 0.0000 0.6441
Ga2 0.0000 0.5000 0.5000
Tb2 0.8029 0.7506 0.5535
Tb3 0.9132 0.7375 0.1757
Tb4 0.2733 0.9453 0.6720
Tb5 0.4382 0.2625 0.1757
Ag2 0.5000 0.6366 0.1366
Tb6 0.1971 0.2494 0.4465
Ag3 0.3559 0.0000 0.3559
Tb7 0.1971 0.7506 0.9478
Tb8 0.7267 0.3987 0.6720
Tb9 0.0868 0.2625 0.8243
Ag4 0.5000 0.3634 0.8634
Tb10 0.8029 0.2494 0.0522
Tb11 0.2733 0.6013 0.3280
Tb12 0.5618 0.7375 0.8243
```

---

No. 9
## K2VBr2Cl4 (PBE)

Data for crystalline K2VBr2Cl4 at its relaxed geometry.

Properties
* uncorrected formation energy: -1.417 eV/atom
* total magnetization: 1.00 μB per formula unit

The structure in CIF format:
```
data_K2VBr2Cl4
_cell_length_a 7.2186
_cell_length_b 7.2186
_cell_length_c 7.2186
_cell_angle_alpha 87.83
_cell_angle_beta 121.26
_cell_angle_gamma 121.26
_space_group_name_H-M_alt 'P 1'
_space_group_IT_number 1
_space_group_name_Hall 'P 1'
loop_
_atom_site_label
_atom_site_fract_x
_atom_site_fract_y
_atom_site_fract_z
K1 0.5000 0.7500 0.2500
Br1 0.0000 0.7573 0.7573
Cl1 0.0000 0.7690 0.2310
V1 0.0000 0.0000 0.0000
Cl2 0.4619 0.2310 0.2310
Cl3 0.0000 0.2310 0.7690
Cl4 0.5381 0.7690 0.7690
Br2 0.0000 0.2427 0.2427
K2 0.5000 0.2500 0.7500
```

---

No. 10
## TaAlOs (PBE)

Data for crystalline TaAlOs at its relaxed geometry.

Properties
* energy: -27.9 eV per cell
* total magnetization: 0.00 μB per formula unit

The structure in CIF format:
```
data_TaAlOs
_cell_length_a 5.3470
_cell_length_b 5.3470
_cell_length_c 5.3470
_cell_angle_alpha 146.29
_cell_angle_beta 146.29
_cell_angle_gamma 48.41
_space_group_name_H-M_alt 'P 1'
_space_group_IT_number 1
_space_group_name_Hall 'P 1'
loop_
_atom_site_label
_atom_site_fract_x
_atom_site_fract_y
_atom_site_fract_z
Ta1 0.6761 0.6761 0.0000
Os1 0.3348 0.3348 0.0000
Al1 0.9892 0.9892 0.0000
```

---

No. 11
## BaPdI2 (PBE)

Data for crystalline BaPdI2 at its relaxed geometry.

Properties
* uncorrected formation energy: -0.852 eV/atom
* distance to the lowest polymorph of the same formula: 0.00 eV/f.u.
* total magnetization: 0.00 μB per formula unit

The structure in CIF format:
```
data_BaPdI2
_cell_length_a 6.3862
_cell_length_b 6.3862
_cell_length_c 9.3898
_cell_angle_alpha 70.12
_cell_angle_beta 70.12
_cell_angle_gamma 90.00
_space_group_name_H-M_alt 'P 1'
_space_group_IT_number 1
_space_group_name_Hall 'P 1'
loop_
_atom_site_label
_atom_site_fract_x
_atom_site_fract_y
_atom_site_fract_z
Ba1 0.7500 0.2500 0.5000
Ba2 0.0000 0.0000 0.0000
I1 0.8750 0.7979 0.7500
I2 0.2021 0.6250 0.2500
I3 0.5479 0.1250 0.2500
Pd1 0.5000 0.5000 0.0000
Pd2 0.2500 0.7500 0.5000
I4 0.3750 0.4521 0.7500
```

---

No. 12
## Cd2RuBr (PBE)

Data for crystalline Cd2RuBr at its relaxed geometry.

Properties
* uncorrected formation energy: 0.377 eV/atom
* distance to the lowest polymorph of the same formula: 0.84 eV/f.u.
* total magnetization: 0.79 μB per formula unit

The structure in CIF format:
```
data_Cd2RuBr
_cell_length_a 5.1274
_cell_length_b 5.1274
_cell_length_c 3.2467
_cell_angle_alpha 90.00
_cell_angle_beta 90.00
_cell_angle_gamma 110.37
_space_group_name_H-M_alt 'P 1'
_space_group_IT_number 1
_space_group_name_Hall 'P 1'
loop_
_atom_site_label
_atom_site_fract_x
_atom_site_fract_y
_atom_site_fract_z
Cd1 0.5000 0.5000 0.0000
Cd2 0.0000 0.0000 0.0000
Ru1 0.5000 0.0000 0.5000
Br1 0.0000 0.5000 0.5000
```

---

Number 1: density of states at the Fermi level 2.22 states/eV per cell. Number 2: density of states at the Fermi level 0.71 states/eV per cell. Number 3: density of states at the Fermi level 1.49 states/eV per cell. Number 4: density of states at the Fermi level 13.71 states/eV per cell. Number 5: density of states at the Fermi level 3.77 states/eV per cell. Number 6: density of states at the Fermi level 0.00 states/eV per cell. Number 7: density of states at the Fermi level 0.89 states/eV per cell. Number 8: density of states at the Fermi level 18.64 states/eV per cell. Number 9: density of states at the Fermi level 6.59 states/eV per cell. Number 10: density of states at the Fermi level 1.18 states/eV per cell. Number 11: density of states at the Fermi level 0.00 states/eV per cell. Number 12: density of states at the Fermi level 2.07 states/eV per cell.